# 1
Ac2Pr6Ho | PBE | optimized geometry

Cell and atoms, written as POSCAR:
```
Ac2Pr6Ho
1.0
3.761 0.000 0.000
-1.881 3.257 0.000
0.000 0.000 27.794
Ac Pr Ho
2 6 1
direct
0.000 0.000 0.173
0.000 0.000 0.827
0.000 0.000 0.397
0.000 0.000 0.603
0.667 0.333 0.062
0.667 0.333 0.289
0.667 0.333 0.711
0.667 0.333 0.938
0.667 0.333 0.500
```

Properties
Calculated density in Mg/m³: 7.14
Formation energy from the elements in kJ per mole of atoms: 7.2
Polymorph energy (0 for the lowest one) in meV per atom: 0.0
Space group: No. 187

---

# 2
Cd2AsPt | PBE | optimized geometry

Cell and atoms, written as POSCAR:
```
Cd2AsPt
1.0
0.000 3.374 3.374
3.374 0.000 3.374
3.374 3.374 0.000
Cd As Pt
2 1 1
direct
0.000 0.000 0.000
0.250 0.250 0.250
0.500 0.500 0.500
0.750 0.750 0.750
```

Properties
Calculated density in Mg/m³: 10.69
Formation energy from the elements in kJ per mole of atoms: 6.4
Space group: No. 216